Entry 1:
# Re2PPdPt

A relaxed Re2PPdPt crystal (PBE, Alexandria via LeMat-Bulk).

Structure (CIF):
```
data_Re2PPdPt
_chemical_formula_sum 'Re2 P1 Pd1 Pt1'
_cell_length_a 4.387
_cell_length_b 4.366
_cell_length_c 4.387
_cell_angle_alpha 90.00
_cell_angle_beta 90.00
_cell_angle_gamma 90.00
_symmetry_space_group_name_H-M 'P 1'
_symmetry_Int_Tables_number 1
loop_
_symmetry_equiv_pos_as_xyz
'x,y,z'
loop_
_atom_site_label
_atom_site_fract_x
_atom_site_fract_y
_atom_site_fract_z
Re1 0.000 0.000 0.500
Re2 0.500 0.000 0.000
Pd1 0.000 0.500 0.000
Pt1 0.500 0.500 0.500
P1 0.000 0.000 0.000
```

## Properties
The calculation puts the calculated volume at 84 Å³/f.u. Its space group is P4/mmm. The total DFT energy (no corrections) comes out at -0.276 Ha/atom. The total magnetization comes out at 0.7 μB per formula unit. The value obtained for the energy of formation is 0.79 eV per atom.

=====

Entry 2:
# SmTh2In3

A relaxed SmTh2In3 crystal (PBE, Alexandria via LeMat-Bulk).

Structure (CIF):
```
data_SmTh2In3
_chemical_formula_sum 'Sm1 Th2 In3'
_cell_length_a 3.533
_cell_length_b 3.533
_cell_length_c 13.644
_cell_angle_alpha 90.00
_cell_angle_beta 90.00
_cell_angle_gamma 90.00
_symmetry_space_group_name_H-M 'P 1'
_symmetry_Int_Tables_number 1
loop_
_symmetry_equiv_pos_as_xyz
'x,y,z'
loop_
_atom_site_label
_atom_site_fract_x
_atom_site_fract_y
_atom_site_fract_z
Sm1 0.500 0.500 0.500
Th1 0.500 0.500 0.831
Th2 0.500 0.500 0.169
In1 0.000 0.000 0.000
In2 0.000 0.000 0.663
In3 0.000 0.000 0.337
```

## Properties
The calculation puts the calculated volume at 170 Å³/f.u. Its space group is P4/mmm. The total DFT energy (no corrections) comes out at -0.183 Ha/atom. The total magnetization comes out at 0.0 μB per formula unit. The value obtained for the energy of formation is -0.35 eV per atom.

=====

Entry 3:
# ZrPt3Au

A relaxed ZrPt3Au crystal (PBE, Alexandria via LeMat-Bulk).

Structure (CIF):
```
data_ZrPt3Au
_chemical_formula_sum 'Zr1 Pt3 Au1'
_cell_length_a 4.942
_cell_length_b 4.942
_cell_length_c 4.942
_cell_angle_alpha 90.00
_cell_angle_beta 90.00
_cell_angle_gamma 90.00
_symmetry_space_group_name_H-M 'P 1'
_symmetry_Int_Tables_number 1
loop_
_symmetry_equiv_pos_as_xyz
'x,y,z'
loop_
_atom_site_label
_atom_site_fract_x
_atom_site_fract_y
_atom_site_fract_z
Au1 0.500 0.500 0.500
Zr1 0.000 0.000 0.000
Pt1 0.000 0.500 0.000
Pt2 0.000 0.000 0.500
Pt3 0.500 0.000 0.000
```

## Properties
The calculation puts the calculated volume at 121 Å³/f.u. Its space group is Pm-3m. The total DFT energy (no corrections) comes out at -0.188 Ha/atom. The total magnetization comes out at 0.0 μB per formula unit. The value obtained for the distance to the lowest polymorph of the same formula is 0.000 eV per atom. The value obtained for the energy of formation is 0.88 eV per atom.

=====

Entry 4:
# Tb6Ho4Mg

A relaxed Tb6Ho4Mg crystal (PBE, Alexandria via LeMat-Bulk).

Structure (CIF):
```
data_Tb6Ho4Mg
_chemical_formula_sum 'Tb6 Ho4 Mg1'
_cell_length_a 9.661
_cell_length_b 9.661
_cell_length_c 9.661
_cell_angle_alpha 56.49
_cell_angle_beta 140.90
_cell_angle_gamma 140.90
_symmetry_space_group_name_H-M 'P 1'
_symmetry_Int_Tables_number 1
loop_
_symmetry_equiv_pos_as_xyz
'x,y,z'
loop_
_atom_site_label
_atom_site_fract_x
_atom_site_fract_y
_atom_site_fract_z
Tb1 0.000 0.809 0.460
Tb2 0.000 0.460 0.809
Tb3 0.349 0.540 0.540
Tb4 0.500 0.500 0.000
Tb5 0.651 0.191 0.191
Tb6 0.500 0.000 0.500
Ho1 0.000 0.647 0.013
Ho2 0.366 0.353 0.353
Ho3 0.000 0.013 0.647
Ho4 0.634 0.987 0.987
Mg1 0.000 0.000 0.000
```

## Properties
The calculation puts the calculated volume at 356 Å³/f.u. Its space group is I-42m. The total DFT energy (no corrections) comes out at -0.149 Ha/atom. The total magnetization comes out at 0.0 μB per formula unit. The value obtained for the energy of formation is 0.28 eV per atom.

=====

Entry 5:
# KTiAl2O6

A relaxed KTiAl2O6 crystal (PBE, Alexandria via LeMat-Bulk).

Structure (CIF):
```
data_KTiAl2O6
_chemical_formula_sum 'K2 Ti2 Al4 O12'
_cell_length_a 6.084
_cell_length_b 7.388
_cell_length_c 7.388
_cell_angle_alpha 105.17
_cell_angle_beta 76.88
_cell_angle_gamma 76.88
_symmetry_space_group_name_H-M 'P 1'
_symmetry_Int_Tables_number 1
loop_
_symmetry_equiv_pos_as_xyz
'x,y,z'
loop_
_atom_site_label
_atom_site_fract_x
_atom_site_fract_y
_atom_site_fract_z
K1 0.250 0.898 0.102
K2 0.750 0.102 0.898
Ti1 0.250 0.199 0.801
Ti2 0.750 0.801 0.199
Al1 0.359 0.711 0.550
Al2 0.141 0.450 0.289
Al3 0.641 0.289 0.450
Al4 0.859 0.550 0.711
O1 0.241 0.943 0.745
O2 0.259 0.255 0.057
O3 0.759 0.057 0.255
O4 0.741 0.745 0.943
O5 0.482 0.779 0.346
O6 0.018 0.654 0.221
O7 0.518 0.221 0.654
O8 0.982 0.346 0.779
O9 0.086 0.638 0.580
O10 0.414 0.420 0.362
O11 0.914 0.362 0.420
O12 0.586 0.580 0.638
```

## Properties
The calculation puts the calculated volume at 149 Å³/f.u. Its space group is C2/c. The total DFT energy (no corrections) comes out at -0.265 Ha/atom. The total magnetization comes out at 1.1 μB per formula unit. The value obtained for the uncorrected formation energy is -2585 meV/atom.

=====

Entry 6:
# Sr2Sb3Pd4

A relaxed Sr2Sb3Pd4 crystal (PBE, Alexandria via LeMat-Bulk).

Structure (CIF):
```
data_Sr2Sb3Pd4
_chemical_formula_sum 'Sr4 Sb6 Pd8'
_cell_length_a 6.440
_cell_length_b 7.621
_cell_length_c 8.878
_cell_angle_alpha 90.00
_cell_angle_beta 111.27
_cell_angle_gamma 90.00
_symmetry_space_group_name_H-M 'P 1'
_symmetry_Int_Tables_number 1
loop_
_symmetry_equiv_pos_as_xyz
'x,y,z'
loop_
_atom_site_label
_atom_site_fract_x
_atom_site_fract_y
_atom_site_fract_z
Sr1 0.102 0.590 0.204
Sr2 0.898 0.410 0.796
Sr3 0.398 0.090 0.796
Sr4 0.602 0.910 0.204
Sb1 0.000 0.000 0.000
Sb2 0.500 0.500 0.000
Sb3 0.511 0.750 0.521
Sb4 0.989 0.250 0.479
Sb5 0.489 0.250 0.479
Sb6 0.011 0.750 0.521
Pd1 0.679 0.750 0.857
Pd2 0.821 0.250 0.143
Pd3 0.321 0.250 0.143
Pd4 0.179 0.750 0.857
Pd5 0.171 0.994 0.342
Pd6 0.829 0.006 0.658
Pd7 0.329 0.494 0.658
Pd8 0.671 0.506 0.342
```

## Properties
The calculation puts the calculated volume at 203 Å³/f.u. Its space group is Cmce. The total DFT energy (no corrections) comes out at -0.176 Ha/atom. The total magnetization comes out at 0.0 μB per formula unit. The value obtained for the uncorrected formation energy is -728 meV/atom.

=====

Entry 7:
# TlSiIr2

A relaxed TlSiIr2 crystal (PBE, Alexandria via LeMat-Bulk).

Structure (CIF):
```
data_TlSiIr2
_chemical_formula_sum 'Tl2 Si2 Ir4'
_cell_length_a 7.069
_cell_length_b 7.069
_cell_length_c 5.742
_cell_angle_alpha 52.01
_cell_angle_beta 52.01
_cell_angle_gamma 90.00
_symmetry_space_group_name_H-M 'P 1'
_symmetry_Int_Tables_number 1
loop_
_symmetry_equiv_pos_as_xyz
'x,y,z'
loop_
_atom_site_label
_atom_site_fract_x
_atom_site_fract_y
_atom_site_fract_z
Tl1 0.000 0.000 0.000
Tl2 0.750 0.250 0.500
Ir1 0.560 0.125 0.250
Ir2 0.190 0.625 0.250
Ir3 0.375 0.440 0.750
Ir4 0.875 0.810 0.750
Si1 0.500 0.500 0.000
Si2 0.250 0.750 0.500
```

## Properties
The calculation puts the calculated volume at 71 Å³/f.u. Its space group is I-42d. The total DFT energy (no corrections) comes out at -0.228 Ha/atom. The total magnetization comes out at 0.0 μB per formula unit. The value obtained for the distance to the lowest polymorph of the same formula is 0.308 eV per atom. The value obtained for the uncorrected formation energy is 160 meV/atom.

=====

Entry 8:
# PuPaCoIr

A relaxed PuPaCoIr crystal (PBE, Alexandria via LeMat-Bulk).

Structure (CIF):
```
data_PuPaCoIr
_chemical_formula_sum 'Pu1 Pa1 Co1 Ir1'
_cell_length_a 4.621
_cell_length_b 4.621
_cell_length_c 4.621
_cell_angle_alpha 60.00
_cell_angle_beta 60.00
_cell_angle_gamma 60.00
_symmetry_space_group_name_H-M 'P 1'
_symmetry_Int_Tables_number 1
loop_
_symmetry_equiv_pos_as_xyz
'x,y,z'
loop_
_atom_site_label
_atom_site_fract_x
_atom_site_fract_y
_atom_site_fract_z
Co1 0.750 0.750 0.750
Pa1 0.250 0.250 0.250
Ir1 0.500 0.500 0.500
Pu1 0.000 0.000 0.000
```

## Properties
The calculation puts the calculated volume at 70 Å³/f.u. Its space group is F-43m. The total DFT energy (no corrections) comes out at -0.382 Ha/atom. The total magnetization comes out at 3.5 μB per formula unit. The value obtained for the energy of formation is -0.43 eV per atom.

=====

Entry 9:
# TiTe2ICl

A relaxed TiTe2ICl crystal (PBE, Alexandria via LeMat-Bulk).

Structure (CIF):
```
data_TiTe2ICl
_chemical_formula_sum 'Ti1 Te2 I1 Cl1'
_cell_length_a 5.316
_cell_length_b 5.316
_cell_length_c 5.432
_cell_angle_alpha 90.00
_cell_angle_beta 90.00
_cell_angle_gamma 90.00
_symmetry_space_group_name_H-M 'P 1'
_symmetry_Int_Tables_number 1
loop_
_symmetry_equiv_pos_as_xyz
'x,y,z'
loop_
_atom_site_label
_atom_site_fract_x
_atom_site_fract_y
_atom_site_fract_z
I1 0.000 0.000 0.500
Cl1 0.500 0.500 0.500
Te1 0.000 0.500 0.000
Te2 0.500 0.000 0.000
Ti1 0.000 0.000 0.000
```

## Properties
The calculation puts the calculated volume at 153 Å³/f.u. Its space group is P4/mmm. The total DFT energy (no corrections) comes out at -0.135 Ha/atom. The total magnetization comes out at 0.0 μB per formula unit. The value obtained for the distance to the lowest polymorph of the same formula is 0.000 eV per atom. The value obtained for the uncorrected formation energy is -165 meV/atom.

=====

Entry 10:
# Pr2MgSn3

A relaxed Pr2MgSn3 crystal (PBE, Alexandria via LeMat-Bulk).

Structure (CIF):
```
data_Pr2MgSn3
_chemical_formula_sum 'Pr4 Mg2 Sn6'
_cell_length_a 5.772
_cell_length_b 8.389
_cell_length_c 8.389
_cell_angle_alpha 113.50
_cell_angle_beta 90.00
_cell_angle_gamma 90.00
_symmetry_space_group_name_H-M 'P 1'
_symmetry_Int_Tables_number 1
loop_
_symmetry_equiv_pos_as_xyz
'x,y,z'
loop_
_atom_site_label
_atom_site_fract_x
_atom_site_fract_y
_atom_site_fract_z
Pr1 0.750 0.463 0.170
Pr2 0.250 0.537 0.830
Pr3 0.250 0.830 0.537
Pr4 0.750 0.170 0.463
Mg1 0.750 0.902 0.902
Mg2 0.250 0.098 0.098
Sn1 0.250 0.412 0.412
Sn2 0.750 0.588 0.588
Sn3 0.500 0.179 0.821
Sn4 0.000 0.179 0.821
Sn5 0.500 0.821 0.179
Sn6 0.000 0.821 0.179
```

## Properties
The calculation puts the calculated volume at 186 Å³/f.u. Its space group is Cmcm. The total DFT energy (no corrections) comes out at -0.156 Ha/atom. The total magnetization comes out at 0.0 μB per formula unit. The value obtained for the energy of formation is -0.39 eV per atom.

=====

- Number 6 is which compound?
  Sr2Sb3Pd4

=====

- Among the records above, which one has the highest total DFT energy (no corrections)?
  TiTe2ICl